--- one ---
Computed, not measured: a geometry-optimized Pr2Pa2S7 structure at the PBE level of DFT.

Space group: Imm2 (44)
V: 249 Å³ per cell
Size of the total moment: 1.85 μB/f.u.

Structure (extended XYZ):
```
11
Lattice="-1.999 7.164 4.350 1.999 -7.164 4.350 1.999 7.164 -4.350" Properties=species:S:1:pos:R:3 pbc="T T T"
Pr 0.000 3.419 0.000
Pr 0.000 10.909 0.000
Pa 0.000 0.000 2.225
Pa 0.000 7.164 1.768
S 1.999 -1.856 1.736
S 1.999 1.856 1.736
S 1.999 5.657 0.224
S 0.000 4.589 2.600
S 0.000 1.507 4.573
S 0.000 0.000 8.079
S 0.000 9.739 2.600
```

--- two ---
Computed, not measured: a geometry-optimized Pr2Pa2S7 structure at the PBE level of DFT.

Space group: P-4m2 (115)
V: 290 Å³ per cell
Size of the total moment: 1.94 μB/f.u.

Structure (extended XYZ):
```
11
Lattice="4.658 0.000 0.000 0.000 4.658 0.000 0.000 0.000 13.342" Properties=species:S:1:pos:R:3 pbc="T T T"
Pr 0.000 2.329 1.875
Pr 2.329 0.000 11.467
Pa 0.000 2.329 8.290
Pa 2.329 0.000 5.052
S 0.000 0.000 3.330
S 0.000 0.000 6.671
S 0.000 0.000 10.012
S 2.329 2.329 0.000
S 2.329 2.329 3.534
S 2.329 2.329 6.671
S 2.329 2.329 9.808
```

Stability, lowest: two

--- one ---
Computed, not measured: a geometry-optimized Pr2PaS5 structure at the PBE level of DFT.

Space group: Cmcm (63)
V: 509 Å³ per cell
Size of the total moment: 1.03 μB/f.u.

Structure (extended XYZ):
```
16
Lattice="2.718 -6.921 0.000 2.718 6.921 0.000 0.000 0.000 13.542" Properties=species:S:1:pos:R:3 pbc="T T T"
Pr 2.718 4.923 7.607
Pr 2.718 4.923 12.707
Pr 2.718 -4.923 0.836
Pr 2.718 -4.923 5.935
Pa 2.718 4.269 3.386
Pa 2.718 -4.269 10.157
S 2.718 6.254 1.634
S 2.718 6.254 5.137
S 2.718 3.313 10.157
S 2.718 2.715 1.110
S 2.718 2.715 5.661
S 2.718 -2.715 7.881
S 2.718 -2.715 12.432
S 2.718 -3.313 3.386
S 2.718 -6.254 8.405
S 2.718 -6.254 11.908
```

--- two ---
Computed, not measured: a geometry-optimized Pr2PaS5 structure at the PBE level of DFT.

Space group: Pnma (62)
V: 741 Å³ per cell
Size of the total moment: 0.81 μB/f.u.

Structure (extended XYZ):
```
32
Lattice="12.082 0.000 0.000 0.000 8.125 0.000 0.000 0.000 7.545" Properties=species:S:1:pos:R:3 pbc="T T T"
Pr 2.141 0.002 0.197
Pr 2.141 4.061 0.197
Pr 3.899 8.123 3.970
Pr 3.899 4.065 3.970
Pr 8.182 0.002 3.575
Pr 8.182 4.061 3.575
Pr 9.940 8.123 7.348
Pr 9.940 4.065 7.348
Pa 0.084 2.031 4.300
Pa 5.957 6.094 0.527
Pa 6.125 2.031 7.018
Pa 11.998 6.094 3.246
S 0.016 2.031 7.171
S 1.152 4.391 4.993
S 1.152 7.797 4.993
S 2.235 2.031 2.509
S 2.562 6.094 2.315
S 3.479 2.031 6.087
S 3.806 6.094 6.281
S 4.888 0.328 1.221
S 4.888 3.734 1.221
S 6.025 6.094 3.398
S 6.057 2.031 4.147
S 7.193 4.391 6.324
S 7.193 7.797 6.324
S 8.276 2.031 1.264
S 8.603 6.094 1.458
S 9.520 2.031 5.231
S 9.846 6.094 5.037
S 10.929 0.328 2.552
S 10.929 3.734 2.552
S 12.065 6.094 0.374
```

Stability, lowest: one

--- one ---
Computed, not measured: a geometry-optimized PrPaSb structure at the PBE level of DFT.

Space group: I4mm (107)
V: 87 Å³ per cell
Size of the total moment: 1.17 μB/f.u.

Structure (extended XYZ):
```
3
Lattice="-2.027 2.027 5.315 2.027 -2.027 5.315 2.027 2.027 -5.315" Properties=species:S:1:pos:R:3 pbc="T T T"
Pr 0.000 0.000 0.000
Pa 0.000 0.000 3.163
Sb 0.000 0.000 6.968
```

--- two ---
Computed, not measured: a geometry-optimized PrPaSb structure at the PBE level of DFT.

Space group: I4/mmm (139)
V: 194 Å³ per cell
Size of the total moment: 0.00 μB/f.u.

Structure (extended XYZ):
```
6
Lattice="-2.104 2.104 10.965 2.104 -2.104 10.965 2.104 2.104 -10.965" Properties=species:S:1:pos:R:3 pbc="T T T"
Pr 0.000 0.000 2.619
Pr 0.000 0.000 19.311
Pa 0.000 0.000 6.073
Pa 0.000 0.000 15.857
Sb 0.000 0.000 9.343
Sb 0.000 0.000 12.587
```

--- three ---
Computed, not measured: a geometry-optimized PrPaSb structure at the PBE level of DFT.

Space group: P3m1 (156)
V: 87 Å³ per cell
Size of the total moment: 1.73 μB/f.u.

Structure (extended XYZ):
```
3
Lattice="5.400 0.000 0.000 -2.700 4.676 0.000 0.000 0.000 3.440" Properties=species:S:1:pos:R:3 pbc="T T T"
Pr 0.000 0.000 0.000
Pa 0.000 3.118 1.871
Sb 2.700 1.559 1.019
```

Stability, lowest: three

--- one ---
Computed, not measured: a geometry-optimized Pr2ScPa structure at the PBE level of DFT.

Space group: P4/mmm (123)
V: 119 Å³ per cell
Size of the total moment: 0.14 μB/f.u.

Structure (extended XYZ):
```
4
Lattice="3.415 0.000 0.000 0.000 3.415 0.000 0.000 0.000 10.201" Properties=species:S:1:pos:R:3 pbc="T T T"
Pr 0.000 0.000 2.503
Pr 0.000 0.000 7.699
Sc 1.707 1.707 5.101
Pa 1.707 1.707 0.000
```

--- two ---
Computed, not measured: a geometry-optimized Pr2ScPa structure at the PBE level of DFT.

Space group: R-3m (166)
V: 118 Å³ per cell
Size of the total moment: 0.00 μB/f.u.

Structure (extended XYZ):
```
4
Lattice="1.670 0.964 12.263 -1.670 0.964 12.263 0.000 -1.928 12.263" Properties=species:S:1:pos:R:3 pbc="T T T"
Pr 0.000 0.000 3.236
Pr 0.000 0.000 33.552
Sc 0.000 0.000 18.394
Pa 0.000 0.000 0.000
```

Stability, lowest: two

--- one ---
Computed, not measured: a geometry-optimized PrScPa structure at the PBE level of DFT.

Space group: Cmcm (63)
V: 169 Å³ per cell
Size of the total moment: 0.00 μB/f.u.

Structure (extended XYZ):
```
6
Lattice="2.722 -4.724 0.000 2.722 4.724 0.000 0.000 0.000 6.591" Properties=species:S:1:pos:R:3 pbc="T T T"
Pr 2.722 3.146 4.943
Pr 2.722 -3.146 1.648
Sc 2.722 3.156 1.648
Sc 2.722 -3.156 4.943
Pa 2.722 0.000 0.000
Pa 2.722 0.000 3.295
```

--- two ---
Computed, not measured: a geometry-optimized PrScPa structure at the PBE level of DFT.

Space group: I4mm (107)
V: 84 Å³ per cell
Size of the total moment: 0.00 μB/f.u.

Structure (extended XYZ):
```
3
Lattice="-1.667 1.667 7.567 1.667 -1.667 7.567 1.667 1.667 -7.567" Properties=species:S:1:pos:R:3 pbc="T T T"
Pr 0.000 0.000 0.000
Sc 0.000 0.000 10.356
Pa 0.000 0.000 5.036
```

--- three ---
Computed, not measured: a geometry-optimized PrScPa structure at the PBE level of DFT.

Space group: P3m1 (156)
V: 83 Å³ per cell
Size of the total moment: 0.00 μB/f.u.

Structure (extended XYZ):
```
3
Lattice="3.376 0.000 0.000 -1.688 2.924 0.000 0.000 0.000 8.420" Properties=species:S:1:pos:R:3 pbc="T T T"
Pr 0.000 0.000 0.000
Sc 0.000 1.949 5.434
Pa 1.688 0.975 2.856
```

Stability, lowest: one

--- one ---
Computed, not measured: a geometry-optimized Pr2PaSe5 structure at the PBE level of DFT.

Space group: Pnma (62)
V: 846 Å³ per cell
Size of the total moment: 0.89 μB/f.u.

Structure (extended XYZ):
```
32
Lattice="12.631 0.000 0.000 0.000 8.463 0.000 0.000 0.000 7.913" Properties=species:S:1:pos:R:3 pbc="T T T"
Pr 2.252 0.011 0.202
Pr 2.252 4.220 0.202
Pr 4.063 4.243 4.158
Pr 4.063 8.451 4.158
Pr 8.568 0.011 3.755
Pr 8.568 4.220 3.755
Pr 10.379 4.243 7.711
Pr 10.379 8.451 7.711
Pa 0.087 6.347 4.534
Pa 6.228 2.116 0.578
Pa 6.403 6.347 7.335
Pa 12.544 2.116 3.378
Se 0.012 6.347 7.542
Se 1.213 0.363 5.255
Se 1.213 3.869 5.255
Se 2.317 6.347 2.616
Se 2.693 2.116 2.419
Se 3.623 6.347 6.376
Se 3.999 2.116 6.572
Se 5.103 4.594 1.298
Se 5.103 8.100 1.298
Se 6.304 2.116 3.585
Se 6.328 6.347 4.327
Se 7.529 0.363 6.614
Se 7.529 3.869 6.614
Se 8.632 6.347 1.340
Se 9.008 2.116 1.537
Se 9.938 6.347 5.493
Se 10.314 2.116 5.297
Se 11.418 4.594 2.658
Se 11.418 8.100 2.658
Se 12.619 2.116 0.371
```

--- two ---
Computed, not measured: a geometry-optimized Pr2PaSe5 structure at the PBE level of DFT.

Space group: Cmcm (63)
V: 576 Å³ per cell
Size of the total moment: 1.02 μB/f.u.

Structure (extended XYZ):
```
16
Lattice="2.867 -7.142 0.000 2.867 7.142 0.000 0.000 0.000 14.073" Properties=species:S:1:pos:R:3 pbc="T T T"
Pr 2.867 5.059 7.875
Pr 2.867 5.059 13.235
Pr 2.867 -5.059 0.838
Pr 2.867 -5.059 6.198
Pa 2.867 4.343 3.518
Pa 2.867 -4.343 10.555
Se 2.867 6.461 1.721
Se 2.867 6.461 5.315
Se 2.867 3.414 10.555
Se 2.867 2.705 1.129
Se 2.867 2.705 5.907
Se 2.867 -2.705 8.165
Se 2.867 -2.705 12.944
Se 2.867 -3.414 3.518
Se 2.867 -6.461 8.758
Se 2.867 -6.461 12.352
```

Stability, lowest: two

--- one ---
Computed, not measured: a geometry-optimized Pr2Pa3Se8 structure at the PBE level of DFT.

Space group: C2/m (12)
V: 408 Å³ per cell
Size of the total moment: 4.98 μB/f.u.

Structure (extended XYZ):
```
13
Lattice="7.503 -4.132 0.000 7.503 4.132 0.000 -2.069 0.000 6.575" Properties=species:S:1:pos:R:3 pbc="T T T"
Pr 3.287 0.000 1.114
Pr 9.651 0.000 5.461
Pa 6.469 2.018 3.287
Pa 7.503 0.000 0.000
Pa 6.469 -2.018 3.287
Se 0.781 0.000 2.728
Se 5.488 1.977 0.569
Se 4.439 0.000 3.855
Se 7.451 1.977 6.006
Se 5.488 -1.977 0.569
Se 8.499 0.000 2.719
Se 7.451 -1.977 6.006
Se 12.157 0.000 3.847
```

--- two ---
Computed, not measured: a geometry-optimized Pr2Pa3Se8 structure at the PBE level of DFT.

Space group: P2/m (10)
V: 416 Å³ per cell
Size of the total moment: 3.74 μB/f.u.

Structure (extended XYZ):
```
13
Lattice="7.434 0.000 0.000 0.000 4.174 0.000 -2.695 0.000 13.399" Properties=species:S:1:pos:R:3 pbc="T T T"
Pr 1.139 0.000 3.356
Pr 3.600 0.000 10.043
Pa -0.111 2.087 10.037
Pa 3.717 0.000 0.000
Pa 4.850 2.087 3.362
Se -0.263 2.087 4.864
Se -1.292 0.000 11.709
Se 2.440 2.087 1.587
Se 1.053 0.000 8.526
Se 3.686 0.000 4.874
Se 2.299 2.087 11.812
Se 6.031 0.000 1.690
Se 5.002 2.087 8.536
```

Stability, lowest: one

--- one ---
Computed, not measured: a geometry-optimized PrPaSe2 structure at the PBE level of DFT.

Space group: Pmma (51)
V: 207 Å³ per cell
Size of the total moment: 1.05 μB/f.u.

Structure (extended XYZ):
```
8
Lattice="7.991 0.000 0.000 0.000 3.836 0.000 0.000 0.000 6.745" Properties=species:S:1:pos:R:3 pbc="T T T"
Pr 0.000 0.000 0.000
Pr 3.995 0.000 0.000
Pa 0.000 1.918 3.373
Pa 3.995 1.918 3.373
Se 1.998 0.000 2.337
Se 1.998 1.918 5.515
Se 5.993 0.000 4.408
Se 5.993 1.918 1.230
```

--- two ---
Computed, not measured: a geometry-optimized PrPaSe2 structure at the PBE level of DFT.

Space group: R3m (160)
V: 104 Å³ per cell
Size of the total moment: 1.63 μB/f.u.

Structure (extended XYZ):
```
4
Lattice="1.983 1.145 7.640 -1.983 1.145 7.640 0.000 -2.290 7.640" Properties=species:S:1:pos:R:3 pbc="T T T"
Pr 0.000 0.000 0.000
Pa 0.000 0.000 3.961
Se 0.000 0.000 13.382
Se 0.000 0.000 17.339
```

--- three ---
Computed, not measured: a geometry-optimized PrPaSe2 structure at the PBE level of DFT.

Space group: R-3m (166)
V: 103 Å³ per cell
Size of the total moment: 1.05 μB/f.u.

Structure (extended XYZ):
```
4
Lattice="2.048 1.183 7.054 -2.048 1.183 7.054 0.000 -2.365 7.054" Properties=species:S:1:pos:R:3 pbc="T T T"
Pr 0.000 0.000 0.000
Pa 0.000 0.000 10.581
Se 0.000 0.000 5.221
Se 0.000 0.000 15.941
```

Stability, lowest: one

--- one ---
Computed, not measured: a geometry-optimized Pr3PaSe6 structure at the PBE level of DFT.

Space group: Cmc2_1 (36)
V: 602 Å³ per cell
Size of the total moment: 2.04 μB/f.u.

Structure (extended XYZ):
```
20
Lattice="5.822 -7.109 0.000 5.822 7.109 0.000 0.000 0.000 7.274" Properties=species:S:1:pos:R:3 pbc="T T T"
Pr 5.822 5.738 3.637
Pr 3.630 1.436 4.438
Pr 3.630 -1.436 0.801
Pr 8.015 1.436 4.438
Pr 8.015 -1.436 0.801
Pr 5.822 -5.738 0.000
Pa 5.822 2.283 0.834
Pa 5.822 -2.283 4.471
Se 3.913 3.709 2.287
Se 1.885 0.478 2.202
Se 1.885 -0.478 5.839
Se 5.822 3.284 5.506
Se 7.732 3.709 2.287
Se 5.822 0.110 2.720
Se 5.822 -0.110 6.357
Se 3.913 -3.709 5.924
Se 5.822 -3.284 1.869
Se 9.759 0.478 2.202
Se 9.759 -0.478 5.839
Se 7.732 -3.709 5.924
```

--- two ---
Computed, not measured: a geometry-optimized Pr3PaSe6 structure at the PBE level of DFT.

Space group: P2_1/m (11)
V: 576 Å³ per cell
Size of the total moment: 1.49 μB/f.u.

Structure (extended XYZ):
```
20
Lattice="11.856 0.000 0.000 0.000 4.186 0.000 -3.673 0.000 11.606" Properties=species:S:1:pos:R:3 pbc="T T T"
Pr 0.397 1.046 1.931
Pr 0.278 3.139 5.861
Pr 0.633 1.046 10.738
Pr 7.550 3.139 0.868
Pr 7.905 1.046 5.745
Pr 7.785 3.139 9.675
Pa 4.291 1.046 3.568
Pa 3.892 3.139 8.038
Se -1.177 1.046 4.416
Se -2.269 1.046 10.740
Se 2.052 3.139 3.326
Se 0.997 3.139 8.705
Se 2.690 1.046 6.256
Se 4.562 3.139 1.264
Se 3.621 1.046 10.342
Se 5.493 3.139 5.350
Se 7.186 1.046 2.901
Se 6.131 1.046 8.280
Se 10.452 3.139 0.866
Se 9.360 3.139 7.190
```

Stability, lowest: one